[1]
# LaPrMnIn

A geometry-optimized LaPrMnIn structure (PBE-GGA, the Alexandria database).

```
LaPrMnIn
1.0
0.0000 3.8501 3.8501
3.8501 0.0000 3.8501
3.8501 3.8501 0.0000
La Pr Mn In
1 1 1 1
direct
0.0000 0.0000 0.0000
0.5000 0.5000 0.5000
0.2500 0.2500 0.2500
0.7500 0.7500 0.7500
```

Computed properties:
The value obtained for the formation enthalpy at 0 K is -0.050 eV per atom. The density of states at the Fermi level is 1.269 states/eV per atom.

***

[2]
# La2MnInPt6

A geometry-optimized La2MnInPt6 structure (PBE-GGA, the Alexandria database).

```
La2MnInPt6
1.0
5.6815 0.0000 0.0000
2.8401 4.9237 0.0000
2.8261 1.6325 8.3982
La Mn In Pt
2 1 1 6
direct
0.2051 0.2043 0.3858
0.7949 0.7957 0.6142
0.5000 0.5000 0.5000
0.0000 0.0000 0.0000
0.2429 0.7437 0.2683
0.2545 0.2566 0.7312
0.2549 0.7593 0.7309
0.7451 0.2407 0.2691
0.7455 0.7434 0.2688
0.7571 0.2563 0.7317
```

Computed properties:
The value obtained for the formation enthalpy at 0 K is -0.696 eV per atom. The density of states at the Fermi level is 0.433 states/eV per atom.

***

[3]
# LaMnInPt3

A geometry-optimized LaMnInPt3 structure (PBE-GGA, the Alexandria database).

```
LaMnInPt3
1.0
2.8931 -8.5657 0.0000
2.8931 8.5657 0.0000
0.0000 0.0000 5.7238
La Mn In Pt
2 2 2 6
direct
0.2244 0.7756 0.7500
0.7756 0.2244 0.2500
0.0941 0.9059 0.2500
0.9059 0.0941 0.7500
0.3986 0.6014 0.2500
0.6014 0.3986 0.7500
0.2422 0.2422 0.0000
0.2422 0.2422 0.5000
0.2429 0.7571 0.2500
0.7571 0.2429 0.7500
0.7578 0.7578 0.0000
0.7578 0.7578 0.5000
```

Computed properties:
The value obtained for the formation enthalpy at 0 K is -0.445 eV per atom. The density of states at the Fermi level is 0.369 states/eV per atom.

***

[4]
# La2MnInRu

A geometry-optimized La2MnInRu structure (PBE-GGA, the Alexandria database).

```
La2MnInRu
1.0
5.3664 0.0000 0.0000
0.0000 5.3664 0.0000
0.0000 0.0000 4.4520
La Mn In Ru
2 1 1 1
direct
0.0000 0.5000 0.0000
0.5000 0.0000 0.0000
0.0000 0.0000 0.0000
0.5000 0.5000 0.5000
0.0000 0.0000 0.5000
```

Computed properties:
The value obtained for the formation enthalpy at 0 K is 0.151 eV per atom. The density of states at the Fermi level is 1.135 states/eV per atom.